[1]
# La4Dy5Tm

An optimized crystal structure of La4Dy5Tm (GGA-PBE, Alexandria).

Results
V = 34.9 Å³/atom
raw total energy = -45.28 eV per cell
excess energy over the best structure of this formula in the dataset = 0 meV/atom
energy of formation = 0.19 eV/atom

```
10
Lattice="8.588 -1.774 0.000 8.588 1.774 0.000 -0.027 0.000 11.453" Properties=species:S:1:pos:R:3 pbc="T T T"
La 0.550 0.000 2.853
La 5.780 0.000 2.866
La 11.369 0.000 8.587
La 16.599 0.000 8.600
Dy 2.952 0.000 0.542
Dy 2.956 0.000 5.159
Dy 8.574 0.000 5.727
Dy 14.193 0.000 6.294
Dy 14.197 0.000 10.911
Tm 8.588 0.000 0.000
```



[2]
# TaSbIr

An optimized crystal structure of TaSbIr (GGA-PBE, Alexandria).

Results
V = 18.5 Å³/atom
raw total energy = -24.63 eV per cell
E_form (uncorrected) = 0.068 eV per atom

```
3
Lattice="3.049 0.000 0.000 -1.524 2.640 0.000 0.000 0.000 6.911" Properties=species:S:1:pos:R:3 pbc="T T T"
Ta 0.000 0.000 0.000
Sb 0.000 1.760 4.450
Ir 1.524 0.880 2.051
```